## P
NiAuF: relaxed, PBE with a Hubbard U. Values from VASP.

Structure (Quantum ESPRESSO input):
```
&SYSTEM
  ibrav = 0, nat = 12, ntyp = 3
/
ATOMIC_SPECIES
F 19.00 F.upf
Ni 58.69 Ni.upf
Au 196.97 Au.upf
ATOMIC_POSITIONS angstrom
F 1.214 -4.352 4.696
F 4.297 -9.397 7.094
F 5.056 -7.953 9.056
F 4.057 -2.755 5.495
Ni 5.555 -7.896 6.858
Ni 0.434 -1.088 0.633
Ni 1.712 -4.296 2.499
Ni 4.276 -4.689 4.992
Au 0.530 -1.831 3.240
Au 3.043 -7.054 5.721
Au 2.803 -0.412 4.122
Au 4.372 -5.432 7.599
CELL_PARAMETERS angstrom
-2.360 -0.039 1.550
4.082 -10.243 5.959
3.602 3.042 2.760
```

=====

## Q
NiAuF: relaxed, PBE with a Hubbard U. Values from VASP.

Structure (Quantum ESPRESSO input):
```
&SYSTEM
  ibrav = 0, nat = 6, ntyp = 3
/
ATOMIC_SPECIES
Ni 58.69 Ni.upf
F 19.00 F.upf
Au 196.97 Au.upf
ATOMIC_POSITIONS angstrom
Ni 2.456 5.554 0.946
Ni 2.347 3.729 5.377
F 1.142 4.261 0.134
F 2.466 1.871 4.953
Au 2.602 1.785 2.179
Au 3.833 4.333 3.134
CELL_PARAMETERS angstrom
2.809 0.128 0.125
1.117 5.853 -0.131
1.084 1.376 5.671
```

=====

## R
NiAuF: relaxed, PBE with a Hubbard U. Values from VASP.

Structure (Quantum ESPRESSO input):
```
&SYSTEM
  ibrav = 0, nat = 12, ntyp = 3
/
ATOMIC_SPECIES
Au 196.97 Au.upf
F 19.00 F.upf
Ni 58.69 Ni.upf
ATOMIC_POSITIONS angstrom
Au -7.069 0.167 2.377
Au -1.240 2.694 1.851
Au -5.896 -1.744 0.896
Au -10.384 -5.256 3.753
F -8.605 -3.199 1.839
F -4.441 1.836 1.571
F -8.929 -1.676 4.428
F -2.776 -0.671 1.313
Ni -7.353 -2.393 3.219
Ni -4.942 1.615 3.525
Ni -10.771 -0.912 4.051
Ni -2.865 1.119 0.361
CELL_PARAMETERS angstrom
-1.342 0.985 -2.332
-10.316 -6.039 3.384
-1.600 4.257 2.719
```

=====

## S
NiAuF: relaxed, PBE with a Hubbard U. Values from VASP.

Structure (Quantum ESPRESSO input):
```
&SYSTEM
  ibrav = 0, nat = 6, ntyp = 3
/
ATOMIC_SPECIES
F 19.00 F.upf
Ni 58.69 Ni.upf
Au 196.97 Au.upf
ATOMIC_POSITIONS angstrom
F 0.000 6.512 1.439
F 1.504 0.358 3.690
Ni 0.000 1.262 2.686
Ni 1.504 5.608 0.435
Au 0.000 3.908 3.573
Au 1.504 2.962 1.322
CELL_PARAMETERS angstrom
3.008 0.000 0.000
0.000 6.870 0.000
0.000 0.000 4.502
```

=====

From most stable to least stable, the computed energies give S, R, P, Q.